Compound: AlFeN2F
Source: the Alexandria database
Functional: PBE+U
Structure: optimized geometry

Output
- distance to the lowest polymorph of the same formula (meV per atom) = 495.2
- energy (eV per atom) = -5.2835
- M_tot (μB per cell) = 4.2
- ρ (g/cm³) = 3.80

Unit cell a=3.8670 b=3.8670 c=3.7943 alpha=90.00 beta=90.00 gamma=90.00
Space group P4/mmm (No. 123)
Unique sites:
Al 0.0000 0.0000 0.0000 [1 per cell]
Fe 0.5000 0.5000 0.5000 [1 per cell]
N 0.0000 0.5000 0.5000 [2 per cell]
F 0.5000 0.5000 0.0000 [1 per cell]